No. 1
Entry from the Alexandria database: crystalline PmCS at its relaxed geometry (GGA-PBE).

Geometry as extended XYZ:
```
6
Lattice="-2.015 2.746 6.427 2.015 -2.746 6.427 2.015 2.746 -6.427" Properties=species:S:1:pos:R:3 pbc="T T T"
Pm 0.000 0.000 1.960
Pm 0.000 0.000 10.894
C 2.015 0.634 0.000
C 0.000 2.113 6.427
S 2.015 0.000 3.857
S 0.000 2.746 2.570
```

Calculated values
- symmetry = Immm
- DOS(E_F) (states/eV per atom) = 0.00
- energy above the lowest structure with this stoichiometry (meV/atom) = 165

No. 2
Entry from the Alexandria database: crystalline Tl2SiMo at its relaxed geometry (GGA-PBE).

Geometry as extended XYZ:
```
4
Lattice="3.193 0.000 0.000 0.000 5.171 0.000 -0.264 0.000 5.175" Properties=species:S:1:pos:R:3 pbc="T T T"
Tl 0.630 0.000 1.310
Tl 2.299 0.000 3.866
Si 1.596 2.586 0.000
Mo 1.464 2.586 2.588
```

Calculated values
- symmetry = P2/m
- DOS(E_F) (states/eV per atom) = 0.73
- energy above the lowest structure with this stoichiometry (meV/atom) = 494

No. 3
Entry from the Alexandria database: crystalline RbTh2NpO8 at its relaxed geometry (GGA-PBE).

Geometry as extended XYZ:
```
12
Lattice="5.353 0.000 0.000 0.000 7.413 0.000 -0.086 0.000 5.370" Properties=species:S:1:pos:R:3 pbc="T T T"
Rb 0.000 0.000 0.000
Th 2.634 1.828 2.685
Th 2.634 5.585 2.685
Np 0.000 3.707 0.000
O 0.993 2.323 0.988
O 0.993 5.091 0.988
O 1.495 3.707 3.793
O 1.716 0.000 3.539
O 3.552 0.000 1.830
O 3.773 3.707 1.577
O 4.275 2.323 4.382
O 4.275 5.091 4.382
```

Calculated values
- symmetry = P2/m

No. 4
Entry from the Alexandria database: crystalline Na12SrHg6 at its relaxed geometry (GGA-PBE).

Geometry as extended XYZ:
```
19
Lattice="5.751 3.320 5.065 -5.751 3.320 5.065 0.000 -6.641 5.065" Properties=species:S:1:pos:R:3 pbc="T T T"
Na -1.664 -4.904 6.309
Na -5.079 -1.011 8.885
Na -1.407 -1.474 4.509
Na -3.415 3.893 6.309
Na -0.573 1.956 4.509
Na 1.980 -0.481 4.509
Na -1.980 0.481 10.685
Na 0.573 -1.956 10.685
Na 3.415 -3.893 8.885
Na 1.407 1.474 10.685
Na 5.079 1.011 6.309
Na 1.664 4.904 8.885
Sr 0.000 0.000 7.597
Hg -3.117 0.768 6.869
Hg -2.224 -2.316 8.326
Hg 0.893 -3.084 6.869
Hg -0.893 3.084 8.326
Hg 2.224 2.316 6.869
Hg 3.117 -0.768 8.326
```

Calculated values
- symmetry = R-3
- ΔE_f (eV per atom) = -0.167
- DOS(E_F) (states/eV per atom) = 0.44
- energy above the lowest structure with this stoichiometry (meV/atom) = 0

No. 5
Entry from the Alexandria database: crystalline BeInTc at its relaxed geometry (GGA-PBE).

Geometry as extended XYZ:
```
3
Lattice="-1.552 1.552 4.734 1.552 -1.552 4.734 1.552 1.552 -4.734" Properties=species:S:1:pos:R:3 pbc="T T T"
Be 0.000 0.000 0.000
In 0.000 0.000 6.755
Tc 0.000 0.000 3.921
```

Calculated values
- symmetry = I4mm
- ΔE_f (eV per atom) = 0.174
- DOS(E_F) (states/eV per atom) = 0.45
- energy above the lowest structure with this stoichiometry (meV/atom) = 0

No. 6
Entry from the Alexandria database: crystalline Tl2GeBr6 at its relaxed geometry (GGA-PBE).

Geometry as extended XYZ:
```
9
Lattice="6.388 -3.693 0.000 6.388 3.693 0.000 -0.165 0.000 6.900" Properties=species:S:1:pos:R:3 pbc="T T T"
Tl 2.133 0.000 1.048
Tl 10.476 0.000 5.852
Ge 6.388 0.000 0.000
Br 5.352 1.778 1.458
Br 4.175 0.000 5.424
Br 7.258 1.778 5.442
Br 5.352 -1.778 1.458
Br 8.435 0.000 1.476
Br 7.258 -1.778 5.442
```

Calculated values
- symmetry = C2/m
- energy above the lowest structure with this stoichiometry (meV/atom) = 19

No. 7
Entry from the Alexandria database: crystalline Tb2BeWN5 at its relaxed geometry (GGA-PBE).

Geometry as extended XYZ:
```
18
Lattice="1.566 -6.937 0.000 1.566 6.937 0.000 0.000 0.000 9.555" Properties=species:S:1:pos:R:3 pbc="T T T"
Tb 1.566 5.376 4.777
Tb 1.566 5.267 1.145
Tb 1.566 -5.267 5.922
Tb 1.566 -5.376 0.000
Be 1.566 0.482 2.453
Be 1.566 -0.482 7.231
W 1.566 4.051 7.756
W 1.566 -4.051 2.979
N 1.566 6.311 7.748
N 1.566 2.728 1.615
N 1.566 2.738 4.315
N 1.566 2.148 7.768
N 1.566 0.003 0.803
N 1.566 -0.003 5.580
N 1.566 -2.148 2.991
N 1.566 -2.728 6.392
N 1.566 -2.738 9.092
N 1.566 -6.311 2.971
```

Calculated values
- symmetry = Cmc2_1
- DOS(E_F) (states/eV per atom) = 0.29

No. 8
Entry from the Alexandria database: crystalline CeThH at its relaxed geometry (GGA-PBE).

Geometry as extended XYZ:
```
3
Lattice="3.511 0.000 0.000 -1.755 3.040 0.000 0.000 0.000 5.982" Properties=species:S:1:pos:R:3 pbc="T T T"
Ce 0.000 0.000 0.000
Th 0.000 2.027 3.024
H 1.755 1.013 1.463
```

Calculated values
- symmetry = P3m1
- DOS(E_F) (states/eV per atom) = 2.04
- energy above the lowest structure with this stoichiometry (meV/atom) = 55

Number 1: energy -20.5 eV/f.u.. Number 2: energy -17.9 eV/f.u.. Number 3: energy -103.7 eV/f.u.. Number 4: energy -22.5 eV/f.u.. Number 5: energy -16.3 eV/f.u.. Number 6: energy -25.0 eV/f.u.. Number 7: energy -75.6 eV/f.u.. Number 8: energy -17.0 eV/f.u..